1.
ErIn2BiO6 after structural relaxation. Source: Alexandria via LeMat-Bulk, functional PBE.

The calculated total energy comes out at -6.322 eV per atom. The spin magnetization is 0.0000 μB per atom. Its density of states at the Fermi level is 0.00 states/eV/f.u. The raw formation energy is -1.955 eV/atom.

It has space group R3 (No. 146, hexagonal axes), with a = 5.7648 Å, b = 5.7648 Å, c = 14.9536 Å, α = 90.00°, β = 90.00° and γ = 120.00°. Symmetry generates all atoms from Er at (0.0000, 0.0000, 0.0000), In at (0.0000, 0.0000, 0.2153), In at (0.0000, 0.0000, 0.7147), Bi at (0.0000, 0.0000, 0.4965), O at (0.0447, 0.6819, 0.2771) and O at (0.0703, 0.3665, 0.7759).


2.
Y3MnIr8 after structural relaxation. Source: Alexandria via LeMat-Bulk, functional PBE.

Its formation energy is -0.57 eV per atom. The calculated total energy comes out at -8.855 eV per atom. The spin magnetization is 0.3805 μB per atom. Its density of states at the Fermi level is 12.19 states/eV/f.u.

It has space group R3m (No. 160, hexagonal axes), with a = 5.3257 Å, b = 5.3257 Å, c = 26.0512 Å, α = 90.00°, β = 90.00° and γ = 120.00°. Symmetry generates all atoms from Y at (0.0000, 0.0000, 0.0000), Y at (0.0000, 0.0000, 0.1279), Y at (0.0000, 0.0000, 0.5089), Mn at (0.0000, 0.0000, 0.6334), Ir at (0.0000, 0.0000, 0.3153), Ir at (0.0000, 0.0000, 0.8156), Ir at (0.0002, 0.5001, 0.5665) and Ir at (0.1671, 0.3343, 0.3981).


3.
FeHgW after structural relaxation. Source: Alexandria via LeMat-Bulk, functional PBE.

Its formation energy is 0.87 eV per atom. The calculated total energy comes out at -6.367 eV per atom. The value obtained for the energy above the lowest structure with this stoichiometry is 595.4 meV/atom. The spin magnetization is 0.5876 μB per atom. Its density of states at the Fermi level is 1.77 states/eV/f.u.

It has space group F-43m (No. 216), with a = 5.957 Å, b = 5.957 Å, c = 5.957 Å, α = 90.00°, β = 90.00° and γ = 90.00°. Symmetry generates all atoms from Fe at (0.000, 0.000, 0.000), Hg at (0.250, 0.250, 0.750) and W at (0.250, 0.250, 0.250).